Version A
A plane-wave DFT calculation with PBE was carried out for an optimized crystal structure of Al6Re7.

abc: 9.3707 9.3707 9.3707
angles: 32.14 32.14 32.14
Fractional coordinates of all 13 atoms:
Al  0.0477  0.0477  0.0477
Al  0.1515  0.1515  0.1515
Al  0.3345  0.3345  0.3345
Al  0.6655  0.6655  0.6655
Al  0.8485  0.8485  0.8485
Al  0.9523  0.9523  0.9523
Re  0.0798  0.5903  0.5903
Re  0.4097  0.4097  0.9202
Re  0.4097  0.9202  0.4097
Re  0.5000  0.5000  0.5000
Re  0.5903  0.0798  0.5903
Re  0.5903  0.5903  0.0798
Re  0.9202  0.4097  0.4097

Calculated values
SG: R-3m

Version B
A plane-wave DFT calculation with PBE was carried out for an optimized crystal structure of Al6Re7.

abc: 9.2073 9.2073 9.2073
angles: 31.22 31.22 31.22
Fractional coordinates of all 13 atoms:
Al  0.0893  0.0893  0.5864
Al  0.0893  0.5864  0.0893
Al  0.4136  0.9107  0.9107
Al  0.5864  0.0893  0.0893
Al  0.9107  0.4136  0.9107
Al  0.9107  0.9107  0.4136
Re  0.0000  0.0000  0.0000
Re  0.1670  0.1670  0.1670
Re  0.3537  0.3537  0.3537
Re  0.4530  0.4530  0.4530
Re  0.5470  0.5470  0.5470
Re  0.6463  0.6463  0.6463
Re  0.8330  0.8330  0.8330

Calculated values
SG: R-3m

Most stable: version B (next structure +0.036 eV/atom)